No. 1
VASP calculation (PBE) on an optimized crystal structure of Mn8Tc3Ir.

Volume ... 144.1 Å³/f.u.
M_tot ... 0.77 μB/cell
Energy of formation ... -0.96 eV per formula unit

Lattice parameters (Å, degrees): 4.6734 4.6734 7.6180 90.00 90.00 120.00
Closest atoms and distances in Å follow each position.
Atoms (fractional coordinates):
Mn (0.3333, 0.6667, 0.5001)  6 Mn 2.37-2.38
Mn (0.3333, 0.6667, 0.0019)  6 Mn 2.35-2.38
Mn (0.5074, 0.0149, 0.7499)  6 Mn 2.23-2.44
Mn (0.5074, 0.4926, 0.7499)  6 Mn 2.23-2.44
Mn (0.9851, 0.4926, 0.7499)  6 Mn 2.23-2.44
Mn (0.1589, 0.3178, 0.2491)  6 Mn 2.23-2.45
Mn (0.1589, 0.8411, 0.2491)  6 Mn 2.23-2.45
Mn (0.6822, 0.8411, 0.2491)  6 Mn 2.23-2.45
Tc (0.6667, 0.3333, 0.4321)  12 Mn 2.72-2.75, 1 Tc 2.77, 3 Ir 2.89
Tc (0.6667, 0.3333, 0.0688)  12 Mn 2.71-2.75, 4 Tc 2.77-2.89
Tc (0.0000, 0.0000, 0.9319)  12 Mn 2.72-2.75, 1 Ir 2.77, 3 Tc 2.89
Ir (0.0000, 0.0000, 0.5683)  12 Mn 2.72-2.75, 4 Tc 2.77-2.89

***

No. 2
VASP calculation (PBE) on an optimized crystal structure of Mn3TcIr.

Volume ... 103.5 Å³/f.u.
M_tot ... 15.13 μB/cell
Polymorph energy (0 for the lowest one) ... 0.00 eV/f.u.
Energy of formation ... 7.61 eV per formula unit

Lattice parameters (Å, degrees): 4.6954 4.6954 4.6954 90.00 90.00 90.00
Closest atoms and distances in Å follow each position.
Atoms (fractional coordinates):
Ir (0.0000, 0.0000, 0.0000)  6 Mn 2.35
Tc (0.5000, 0.5000, 0.5000)  12 Mn 3.32
Mn (0.0000, 0.5000, 0.0000)  2 Ir 2.35
Mn (0.0000, 0.0000, 0.5000)  2 Ir 2.35
Mn (0.5000, 0.0000, 0.0000)  2 Ir 2.35

***

No. 3
VASP calculation (PBE) on an optimized crystal structure of Mn2TcIr.

Volume ... 51.9 Å³/f.u.
M_tot ... 2.17 μB/cell
Energy of formation ... -0.07 eV per formula unit

Lattice parameters (Å, degrees): 4.5285 4.5285 2.6577 90.00 90.00 107.94
Closest atoms and distances in Å follow each position.
Atoms (fractional coordinates):
Ir (0.0000, 0.5000, 0.5000)  8 Mn 2.63, 2 Ir 2.66, 2 Tc 2.66
Mn (0.0000, 0.0000, 0.0000)  4 Ir 2.63, 4 Tc 2.63, 4 Mn 2.66
Mn (0.5000, 0.5000, 0.0000)  4 Tc 2.63, 4 Ir 2.63, 4 Mn 2.66
Tc (0.5000, 0.0000, 0.5000)  8 Mn 2.63, 2 Tc 2.66, 2 Ir 2.66

***

No. 4
VASP calculation (PBE) on an optimized crystal structure of MnTc2Ir.

Volume ... 57.7 Å³/f.u.
M_tot ... 3.17 μB/cell
Polymorph energy (0 for the lowest one) ... 0.93 eV/f.u.
Energy of formation ... 0.62 eV per formula unit

Lattice parameters (Å, degrees): 4.3369 4.3369 4.3369 60.00 60.00 60.00
Closest atoms and distances in Å follow each position.
Atoms (fractional coordinates):
Ir (0.5000, 0.5000, 0.5000)  4 Mn 2.66, 4 Tc 2.66
Mn (0.7500, 0.7500, 0.7500)  4 Ir 2.66, 4 Tc 2.66
Tc (0.0000, 0.0000, 0.0000)  4 Tc 2.66, 4 Mn 2.66
Tc (0.2500, 0.2500, 0.2500)  4 Tc 2.66, 4 Ir 2.66

***

No. 5
VASP calculation (PBE) on an optimized crystal structure of MnTc2Ir.

Volume ... 55.0 Å³/f.u.
M_tot ... 0.00 μB/cell
Polymorph energy (0 for the lowest one) ... 0.47 eV/f.u.
Energy of formation ... 0.16 eV per formula unit

Lattice parameters (Å, degrees): 8.8394 8.8394 8.8394 17.58 17.58 17.58
Closest atoms and distances in Å follow each position.
Atoms (fractional coordinates):
Ir (0.2500, 0.2500, 0.2500)  6 Ir 2.70, 6 Tc 2.75
Mn (0.7500, 0.7500, 0.7500)  6 Tc 2.61, 6 Mn 2.70
Tc (0.0034, 0.0034, 0.0034)  3 Mn 2.61, 6 Tc 2.70, 3 Ir 2.75
Tc (0.4966, 0.4966, 0.4966)  3 Mn 2.61, 6 Tc 2.70, 3 Ir 2.75

***

No. 6
VASP calculation (PBE) on an optimized crystal structure of MnTc2Ir.

Volume ... 54.6 Å³/f.u.
M_tot ... 0.48 μB/cell
Polymorph energy (0 for the lowest one) ... 0.15 eV/f.u.
Energy of formation ... -0.16 eV per formula unit

Lattice parameters (Å, degrees): 2.6944 2.6944 7.5172 90.00 90.00 90.00
Closest atoms and distances in Å follow each position.
Atoms (fractional coordinates):
Ir (0.5000, 0.5000, 0.2500)  4 Ir 2.69, 8 Tc 2.76
Mn (0.5000, 0.5000, 0.7500)  8 Tc 2.59, 4 Mn 2.69
Tc (0.0000, 0.0000, 0.9838)  4 Mn 2.59, 4 Tc 2.69, 4 Ir 2.76
Tc (0.0000, 0.0000, 0.5162)  4 Mn 2.59, 4 Tc 2.69, 4 Ir 2.76

***

No. 7
VASP calculation (PBE) on an optimized crystal structure of MnTcIr6.

Volume ... 114.5 Å³/f.u.
M_tot ... 3.34 μB/cell
Energy of formation ... -1.40 eV per formula unit

Lattice parameters (Å, degrees): 3.8505 3.8505 7.7249 90.00 90.00 90.00
Closest atoms and distances in Å follow each position.
Atoms (fractional coordinates):
Mn (0.0000, 0.0000, 0.0000)  12 Ir 2.72-2.74
Tc (0.0000, 0.0000, 0.5000)  12 Ir 2.72
Ir (0.5000, 0.5000, 0.0000)  4 Mn 2.72, 8 Ir 2.74
Ir (0.5000, 0.5000, 0.5000)  8 Ir 2.72, 4 Tc 2.72
Ir (0.5000, 0.0000, 0.2520)  2 Tc 2.72, 8 Ir 2.72-2.74, 2 Mn 2.74
Ir (0.5000, 0.0000, 0.7480)  2 Tc 2.72, 8 Ir 2.72-2.74, 2 Mn 2.74
Ir (0.0000, 0.5000, 0.2520)  2 Tc 2.72, 8 Ir 2.72-2.74, 2 Mn 2.74
Ir (0.0000, 0.5000, 0.7480)  2 Tc 2.72, 8 Ir 2.72-2.74, 2 Mn 2.74

***

No. 8
VASP calculation (PBE) on an optimized crystal structure of Mn2TcIr.

Volume ... 52.1 Å³/f.u.
M_tot ... 1.71 μB/cell
Energy of formation ... 0.30 eV per formula unit

Lattice parameters (Å, degrees): 8.6441 8.6441 8.6441 17.70 17.70 17.70
Closest atoms and distances in Å follow each position.
Atoms (fractional coordinates):
Ir (0.7500, 0.7500, 0.7500)  6 Mn 2.62, 6 Ir 2.66
Mn (0.0001, 0.0001, 0.0001)  3 Ir 2.62, 3 Tc 2.63, 6 Mn 2.66
Mn (0.4999, 0.4999, 0.4999)  3 Ir 2.62, 3 Tc 2.63, 6 Mn 2.66
Tc (0.2500, 0.2500, 0.2500)  6 Mn 2.63, 6 Tc 2.66

***

No. 9
VASP calculation (PBE) on an optimized crystal structure of Mn2TcIr.

Volume ... 51.9 Å³/f.u.
M_tot ... 2.35 μB/cell
Energy of formation ... -0.03 eV per formula unit

Lattice parameters (Å, degrees): 4.5754 4.5754 4.5367 80.58 80.58 33.69
Closest atoms and distances in Å follow each position.
Atoms (fractional coordinates):
Ir (0.7478, 0.7478, 0.7629)  7 Mn 2.58-2.68, 2 Ir 2.65, 3 Tc 2.69
Mn (0.0007, 0.0007, 0.9998)  4 Tc 2.58-2.67, 3 Ir 2.61-2.62, 5 Mn 2.63-2.65
Mn (0.2523, 0.2523, 0.2486)  4 Ir 2.58-2.68, 3 Tc 2.58-2.65, 5 Mn 2.63-2.65
Tc (0.4992, 0.4992, 0.4888)  7 Mn 2.58-2.67, 2 Tc 2.65, 3 Ir 2.69

***

No. 10
VASP calculation (PBE) on an optimized crystal structure of Mn2TcIr.

Volume ... 53.9 Å³/f.u.
M_tot ... 0.27 μB/cell
Energy of formation ... -0.32 eV per formula unit

Lattice parameters (Å, degrees): 2.6961 3.7667 5.3027 90.00 90.00 90.00
Closest atoms and distances in Å follow each position.
Atoms (fractional coordinates):
Ir (0.5000, 0.5000, 0.7480)  6 Mn 2.62-2.70, 4 Tc 2.66, 2 Ir 2.70
Mn (0.0000, 0.0000, 0.0080)  2 Tc 2.62-2.68, 6 Mn 2.63-2.70, 4 Ir 2.70
Mn (0.5000, 0.5000, 0.2418)  2 Ir 2.62-2.68, 6 Mn 2.63-2.70, 4 Tc 2.70
Tc (0.0000, 0.0000, 0.5021)  6 Mn 2.62-2.70, 4 Ir 2.66, 2 Tc 2.70

***

No. 11
VASP calculation (PBE) on an optimized crystal structure of MnTc2Ir.

Volume ... 61.8 Å³/f.u.
M_tot ... 6.28 μB/cell
Polymorph energy (0 for the lowest one) ... 2.20 eV/f.u.
Energy of formation ... 1.89 eV per formula unit

Lattice parameters (Å, degrees): 3.6777 3.6777 9.4957 78.83 78.83 90.00
Closest atoms and distances in Å follow each position.
Atoms (fractional coordinates):
Ir (0.0000, 0.0000, 0.0000)  4 Mn 2.60, 4 Tc 2.67
Ir (0.7500, 0.2500, 0.5000)  4 Mn 2.60, 4 Tc 2.67
Tc (0.5971, 0.1250, 0.2500)  4 Tc 2.46-2.75, 2 Mn 2.59, 2 Ir 2.67
Tc (0.1529, 0.6250, 0.2500)  4 Tc 2.46-2.75, 2 Mn 2.59, 2 Ir 2.67
Tc (0.3750, 0.4029, 0.7500)  4 Tc 2.46-2.75, 2 Mn 2.59, 2 Ir 2.67
Tc (0.8750, 0.8471, 0.7500)  4 Tc 2.46-2.75, 2 Mn 2.59, 2 Ir 2.67
Mn (0.5000, 0.5000, 0.0000)  4 Tc 2.59, 4 Ir 2.60
Mn (0.2500, 0.7500, 0.5000)  4 Tc 2.59, 4 Ir 2.60

***

No. 12
VASP calculation (PBE) on an optimized crystal structure of Mn2TcIr.

Volume ... 59.2 Å³/f.u.
M_tot ... 7.57 μB/cell
Energy of formation ... 2.25 eV per formula unit

Lattice parameters (Å, degrees): 3.7402 3.7402 8.8740 77.83 77.83 90.00
Closest atoms and distances in Å follow each position.
Atoms (fractional coordinates):
Ir (0.0000, 0.0000, 0.0000)  4 Mn 2.49, 4 Tc 2.64
Ir (0.7500, 0.2500, 0.5000)  4 Mn 2.49, 4 Tc 2.64
Tc (0.5000, 0.5000, 0.0000)  4 Mn 2.50, 4 Ir 2.64
Tc (0.2500, 0.7500, 0.5000)  4 Mn 2.50, 4 Ir 2.64
Mn (0.6262, 0.1250, 0.2500)  2 Ir 2.49, 2 Tc 2.50, 4 Mn 2.64-2.65
Mn (0.1238, 0.6250, 0.2500)  2 Ir 2.49, 2 Tc 2.50, 4 Mn 2.64-2.65
Mn (0.3750, 0.3738, 0.7500)  2 Ir 2.49, 2 Tc 2.50, 4 Mn 2.64-2.65
Mn (0.8750, 0.8762, 0.7500)  2 Ir 2.49, 2 Tc 2.50, 4 Mn 2.64-2.65

***

No. 13
VASP calculation (PBE) on an optimized crystal structure of MnTc2Ir.

Volume ... 56.0 Å³/f.u.
M_tot ... 0.00 μB/cell
Polymorph energy (0 for the lowest one) ... 1.85 eV/f.u.
Energy of formation ... 1.54 eV per formula unit

Lattice parameters (Å, degrees): 4.2949 4.2949 4.2949 60.00 60.00 60.00
Closest atoms and distances in Å follow each position.
Atoms (fractional coordinates):
Ir (0.5000, 0.5000, 0.5000)  8 Tc 2.63
Tc (0.2500, 0.2500, 0.2500)  4 Ir 2.63, 4 Mn 2.63
Tc (0.7500, 0.7500, 0.7500)  4 Ir 2.63, 4 Mn 2.63
Mn (0.0000, 0.0000, 0.0000)  8 Tc 2.63

***

No. 14
VASP calculation (PBE) on an optimized crystal structure of MnTc4Ir.

Volume ... 91.4 Å³/f.u.
M_tot ... 2.55 μB/cell
Energy of formation ... 2.02 eV per formula unit

Lattice parameters (Å, degrees): 5.0561 5.0561 5.0561 60.00 60.00 60.00
Closest atoms and distances in Å follow each position.
Atoms (fractional coordinates):
Mn (0.0000, 0.0000, 0.0000)  12 Tc 2.96, 4 Ir 3.10
Tc (0.8767, 0.3744, 0.3744)  6 Tc 2.52-2.54
Tc (0.3744, 0.3744, 0.8767)  6 Tc 2.52-2.54
Tc (0.3744, 0.8767, 0.3744)  6 Tc 2.52-2.54
Tc (0.3744, 0.3744, 0.3744)  6 Tc 2.52-2.54
Ir (0.7500, 0.7500, 0.7500)  12 Tc 2.97, 4 Mn 3.10

***

No. 15
VASP calculation (PBE) on an optimized crystal structure of Mn2TcIr.

Volume ... 55.5 Å³/f.u.
M_tot ... 5.79 μB/cell
Energy of formation ... 0.58 eV per formula unit

Lattice parameters (Å, degrees): 2.6737 2.6737 8.3860 90.00 90.00 112.12
Closest atoms and distances in Å follow each position.
Atoms (fractional coordinates):
Ir (0.5000, 0.5000, 0.7500)  4 Mn 2.60, 4 Ir 2.67
Mn (0.0000, 0.0000, 0.0036)  2 Tc 2.55, 2 Ir 2.60, 4 Mn 2.67
Mn (0.0000, 0.0000, 0.4964)  2 Tc 2.55, 2 Ir 2.60, 4 Mn 2.67
Tc (0.5000, 0.5000, 0.2500)  4 Mn 2.55, 4 Tc 2.67